Entry 1:
VASP calculation (PBE-GGA) on a relaxed CsCr3Fe crystal.

Calculated values
M_tot = 1.83 μB per atom
polymorph energy (0 for the lowest one) = 0.000 eV per atom
density of states at the Fermi level = 4.99 states/eV/f.u.
E_form = 129.10 kJ/mol of atoms

a = 4.7964 Å, b = 4.7964 Å, c = 4.7964 Å
α = 90.00°, β = 90.00°, γ = 90.00°
Last column: nearest neighbours and their distance in Å.
Space group Pm-3m (No. 221)
Inequivalent atoms, fractional coordinates:
Cs 0.0000 0.0000 0.0000 [1 per cell]  12 Cr 3.39
Cr 0.0000 0.5000 0.5000 [3 per cell]  2 Fe 2.40
Fe 0.5000 0.5000 0.5000 [1 per cell]  6 Cr 2.40

---

Entry 2:
VASP calculation (PBE-GGA) on a relaxed KLa2Zn crystal.

Calculated values
M_tot = 0.00 μB per atom
polymorph energy (0 for the lowest one) = 0.050 eV per atom
density of states at the Fermi level = 5.65 states/eV/f.u.
E_form = 6.31 kJ/mol of atoms

a = 3.8645 Å, b = 3.8645 Å, c = 10.0870 Å
α = 90.00°, β = 90.00°, γ = 90.00°
Last column: nearest neighbours and their distance in Å.
Space group P4mm (No. 99)
Inequivalent atoms, fractional coordinates:
K 0.0000 0.0000 0.0000 [1 per cell]  4 Zn 3.70, 4 K 3.86, 1 La 4.04
La 0.0000 0.0000 0.4003 [1 per cell]  4 Zn 3.14
La 0.5000 0.5000 0.6409 [1 per cell]  8 La 3.65-3.86, 1 Zn 3.97
Zn 0.5000 0.5000 0.2474 [1 per cell]  4 La 3.14

---

Entry 3:
VASP calculation (PBE-GGA) on a relaxed CaAs2AuSe crystal.

Calculated values
M_tot = 0.00 μB per atom
polymorph energy (0 for the lowest one) = 0.745 eV per atom
density of states at the Fermi level = 3.33 states/eV/f.u.

a = 5.3886 Å, b = 5.3886 Å, c = 5.2487 Å
α = 90.00°, β = 90.00°, γ = 90.00°
Last column: nearest neighbours and their distance in Å.
Space group P4/mmm (No. 123)
Inequivalent atoms, fractional coordinates:
Ca 0.0000 0.0000 0.0000 [1 per cell]  2 Se 2.62, 4 As 2.69
As 0.0000 0.5000 0.0000 [2 per cell]  2 Ca 2.69
Au 0.5000 0.5000 0.5000 [1 per cell]  8 As 3.76, 4 Se 3.81
Se 0.0000 0.0000 0.5000 [1 per cell]  2 Ca 2.62

---

Entry 4:
VASP calculation (PBE-GGA) on a relaxed MgAl2Si crystal.

Calculated values
M_tot = 0.00 μB per atom
VASP energy = -14.2 eV for the cell shown
density of states at the Fermi level = 0.81 states/eV/f.u.

a = 3.0394 Å, b = 3.7751 Å, c = 6.0579 Å
α = 90.00°, β = 90.00°, γ = 90.00°
Last column: nearest neighbours and their distance in Å.
Space group Pmm2 (No. 25)
Inequivalent atoms, fractional coordinates:
Mg 0.0000 0.0000 0.0000 [1 per cell]  6 Al 2.91-3.14, 4 Si 2.93, 2 Mg 3.04
Al 0.0000 0.0000 0.4809 [1 per cell]  4 Si 2.74, 6 Al 2.81-3.04, 1 Mg 2.91
Al 0.5000 0.5000 0.7168 [1 per cell]  1 Si 2.70, 4 Al 2.81, 4 Mg 2.97
Si 0.5000 0.5000 0.2712 [1 per cell]  5 Al 2.70-2.74, 4 Mg 2.93

---

Entry 5:
VASP calculation (PBE-GGA) on a relaxed HfCd2CuCl crystal.

Calculated values
M_tot = 0.00 μB per atom
VASP energy = -15.0 eV for the cell shown
density of states at the Fermi level = 4.49 states/eV/f.u.

a = 5.7540 Å, b = 5.7540 Å, c = 4.8034 Å
α = 90.00°, β = 90.00°, γ = 90.00°
Last column: nearest neighbours and their distance in Å.
Space group P4/mmm (No. 123)
Inequivalent atoms, fractional coordinates:
Hf 0.0000 0.0000 0.0000 [1 per cell]  2 Cl 2.40
Cd 0.0000 0.5000 0.0000 [2 per cell]  2 Hf 2.88
Cu 0.5000 0.5000 0.5000 [1 per cell]  8 Cd 3.75, 4 Cl 4.07
Cl 0.0000 0.0000 0.5000 [1 per cell]  2 Hf 2.40

---

Entry 6:
VASP calculation (PBE-GGA) on a relaxed LaPr4HoEr2 crystal.

Calculated values
M_tot = 0.00 μB per atom
density of states at the Fermi level = 10.95 states/eV/f.u.
E_form = 1.81 kJ/mol of atoms

a = 6.2984 Å, b = 3.6639 Å, c = 12.0061 Å
α = 90.00°, β = 100.17°, γ = 90.00°
Last column: nearest neighbours and their distance in Å.
Space group P2/m (No. 10)
Inequivalent atoms, fractional coordinates:
La 0.0000 0.0000 0.0000 [1 per cell]  4 Ho 3.64, 6 Pr 3.65-3.68, 2 La 3.66
Pr 0.2496 0.0000 0.7474 [2 per cell]  3 Er 3.60-3.61, 6 Pr 3.64-3.66, 2 Ho 3.65, 1 La 3.65
Pr 0.2521 0.5000 0.2552 [2 per cell]  3 Er 3.58, 6 Pr 3.64-3.66, 1 Ho 3.68, 2 La 3.68
Ho 0.5000 0.5000 0.0000 [1 per cell]  4 La 3.64, 6 Pr 3.65-3.68, 2 Ho 3.66
Er 0.0000 0.5000 0.5000 [1 per cell]  6 Pr 3.58-3.61, 6 Er 3.64-3.66
Er 0.5000 0.0000 0.5000 [1 per cell]  6 Pr 3.58-3.60, 6 Er 3.64-3.66

---

Entry 7:
VASP calculation (PBE-GGA) on a relaxed DyHoRh2 crystal.

Calculated values
M_tot = 0.00 μB per atom
polymorph energy (0 for the lowest one) = 0.000 eV per atom
density of states at the Fermi level = 2.37 states/eV/f.u.
E_form = -86.10 kJ/mol of atoms

a = 6.8329 Å, b = 6.8329 Å, c = 6.8329 Å
α = 90.00°, β = 90.00°, γ = 90.00°
Last column: nearest neighbours and their distance in Å.
Space group Fm-3m (No. 225)
Inequivalent atoms, fractional coordinates:
Dy 0.0000 0.0000 0.0000 [4 per cell]  8 Rh 2.96
Ho 0.0000 0.0000 0.5000 [4 per cell]  8 Rh 2.96
Rh 0.2500 0.2500 0.2500 [8 per cell]  4 Dy 2.96, 4 Ho 2.96